1.
Li2TlPd | PBE | relaxed

Structure (CIF):
```
data_Li2TlPd
_cell_length_a 4.4456
_cell_length_b 4.4456
_cell_length_c 6.4092
_cell_angle_alpha 90.00
_cell_angle_beta 90.00
_cell_angle_gamma 90.00
_space_group_name_H-M_alt 'I 4/m m m'
_space_group_IT_number 139
_space_group_name_Hall '-I 4 2'
loop_
_atom_site_label
_atom_site_fract_x
_atom_site_fract_y
_atom_site_fract_z
_atom_site_occupancy
Li1 0.0000 0.5000 0.2500 1
Tl1 0.0000 0.0000 0.0000 1
Pd1 0.0000 0.0000 0.5000 1
```

- E: -25.575 eV per cell

***

2.
Li2TlPd | PBE | relaxed

Structure (CIF):
```
data_Li2TlPd
_cell_length_a 7.5170
_cell_length_b 7.5427
_cell_length_c 5.1221
_cell_angle_alpha 90.00
_cell_angle_beta 90.00
_cell_angle_gamma 90.00
_space_group_name_H-M_alt 'P n m a'
_space_group_IT_number 62
loop_
_space_group_symop_operation_xyz
'x,y,z'
'-x,-y,-z'
'-x+1/2,-y,z+1/2'
'x+1/2,y,-z+1/2'
'x+1/2,-y+1/2,-z+1/2'
'-x+1/2,y+1/2,z+1/2'
'-x,y+1/2,-z'
'x,-y+1/2,z'
loop_
_atom_site_label
_atom_site_fract_x
_atom_site_fract_y
_atom_site_fract_z
_atom_site_occupancy
Li1 0.1788 0.0637 0.0869 1
Tl1 0.0264 0.2500 0.5872 1
Pd1 0.1180 0.7500 0.9121 1
```

- E: -50.598 eV per cell

***

3.
LiTlPd | PBE | relaxed

Structure (CIF):
```
data_LiTlPd
_cell_length_a 6.0919
_cell_length_b 6.0919
_cell_length_c 6.0919
_cell_angle_alpha 90.00
_cell_angle_beta 90.00
_cell_angle_gamma 90.00
_space_group_name_H-M_alt 'F -4 3 m'
_space_group_IT_number 216
_space_group_name_Hall 'F -4 2 3'
loop_
_atom_site_label
_atom_site_fract_x
_atom_site_fract_y
_atom_site_fract_z
_atom_site_occupancy
Li1 0.0000 0.0000 0.0000 1
Tl1 0.2500 0.2500 0.2500 1
Pd1 0.2500 0.2500 0.7500 1
```

- E: -39.298 eV per cell
- E above lowest polymorph: 0.000 eV/atom

***

4.
Li2TlPd | PBE | relaxed

Structure (CIF):
```
data_Li2TlPd
_cell_length_a 4.1216
_cell_length_b 4.1216
_cell_length_c 3.8975
_cell_angle_alpha 90.00
_cell_angle_beta 90.00
_cell_angle_gamma 90.00
_space_group_name_H-M_alt 'P 4/m m m'
_space_group_IT_number 123
_space_group_name_Hall '-P 4 2'
loop_
_atom_site_label
_atom_site_fract_x
_atom_site_fract_y
_atom_site_fract_z
_atom_site_occupancy
Li1 0.0000 0.5000 0.0000 1
Tl1 0.0000 0.0000 0.5000 1
Pd1 0.5000 0.5000 0.5000 1
```

- E: -12.763 eV per cell

***

5.
Li2TlPd | PBE | relaxed

Structure (CIF):
```
data_Li2TlPd
_cell_length_a 4.7046
_cell_length_b 4.7046
_cell_length_c 7.7309
_cell_angle_alpha 90.00
_cell_angle_beta 90.00
_cell_angle_gamma 120.00
_space_group_name_H-M_alt 'P 63/m m c'
_space_group_IT_number 194
_space_group_name_Hall '-P 6c 2c'
loop_
_atom_site_label
_atom_site_fract_x
_atom_site_fract_y
_atom_site_fract_z
_atom_site_occupancy
Li1 0.3333 0.6667 0.0802 1
Tl1 0.0000 0.0000 0.2500 1
Pd1 0.3333 0.6667 0.7500 1
```

- E: -25.301 eV per cell

***

6.
Li2TlPd | PBE | relaxed

Structure (CIF):
```
data_Li2TlPd
_cell_length_a 3.3616
_cell_length_b 3.3616
_cell_length_c 5.8192
_cell_angle_alpha 90.00
_cell_angle_beta 90.00
_cell_angle_gamma 90.00
_space_group_name_H-M_alt 'P 4/m m m'
_space_group_IT_number 123
_space_group_name_Hall '-P 4 2'
loop_
_atom_site_label
_atom_site_fract_x
_atom_site_fract_y
_atom_site_fract_z
_atom_site_occupancy
Li1 0.0000 0.0000 0.2140 1
Tl1 0.5000 0.5000 0.5000 1
Pd1 0.5000 0.5000 0.0000 1
```

- E: -12.701 eV per cell